Run i
Compound: Li8Ag2Au
Source: the Alexandria database
Functional: PBE-GGA
Structure: optimized geometry

Lattice parameters (Å, degrees): 14.4054 4.1533 6.2335 90.00 104.09 90.00
Closest atoms and distances in Å follow each position.
Space group C2/m (No. 12)
One atom of each set of equivalent atoms:
Li 0.0404 0.0000 0.2451 [4 per cell]  2 Au 2.76, 9 Li 2.76-3.05, 1 Ag 2.82
Li 0.0981 0.5000 0.9441 [4 per cell]  1 Au 2.79, 3 Ag 2.80-2.81, 8 Li 2.80-3.07
Li 0.1418 0.0000 0.6845 [4 per cell]  7 Li 2.76-2.82, 3 Ag 2.81-2.89, 2 Au 2.94
Li 0.1761 0.5000 0.4086 [4 per cell]  1 Au 2.73, 8 Li 2.82-2.99, 3 Ag 2.82-2.83
Ag 0.2204 0.0000 0.1431 [4 per cell]  10 Li 2.80-2.89, 2 Ag 2.99
Au 0.0000 0.5000 0.5000 [2 per cell]  12 Li 2.73-2.94

Run ii
Compound: Li8Ag2Au
Source: the Alexandria database
Functional: PBE-GGA
Structure: optimized geometry

Lattice parameters (Å, degrees): 7.3371 12.5885 4.6449 90.00 114.68 90.00
Closest atoms and distances in Å follow each position.
Space group C2/m (No. 12)
One atom of each set of equivalent atoms:
Li 0.0000 0.2112 0.0000 [4 per cell]  2 Ag 2.63, 1 Au 2.66, 2 Li 2.92
Li 0.1195 0.5000 0.8061 [4 per cell]  1 Au 2.55, 3 Li 2.64-2.81, 2 Ag 2.74
Li 0.2006 0.1121 0.6213 [8 per cell]  2 Ag 2.67-2.83, 4 Li 2.68-2.92, 1 Au 2.99
Ag 0.0000 0.3097 0.5000 [4 per cell]  8 Li 2.63-2.83
Au 0.0000 0.0000 0.0000 [2 per cell]  4 Li 2.55-2.66

Most stable structure among those shown: run i.